(1)
# Fe2Si2Pb (PBE, relaxed)
data_Fe2Si2Pb
_symmetry_space_group_name_H-M 'P 1'
_symmetry_Int_Tables_number 1
_cell_length_a 7.269
_cell_length_b 7.269
_cell_length_c 2.769
_cell_angle_alpha 90.00
_cell_angle_beta 90.00
_cell_angle_gamma 90.00
loop_
_symmetry_equiv_pos_as_xyz
'x,y,z'
loop_
_atom_site_label
_atom_site_type_symbol
_atom_site_fract_x
_atom_site_fract_y
_atom_site_fract_z
_atom_site_occupancy
Fe1 Fe 0.146 0.354 0.000 1
Fe2 Fe 0.354 0.854 0.000 1
Fe3 Fe 0.646 0.146 0.000 1
Fe4 Fe 0.854 0.646 0.000 1
Si1 Si 0.127 0.627 0.500 1
Si2 Si 0.373 0.127 0.500 1
Si3 Si 0.627 0.873 0.500 1
Si4 Si 0.873 0.373 0.500 1
Pb1 Pb 0.000 0.000 0.500 1
Pb2 Pb 0.500 0.500 0.500 1
# formation energy (no corrections): 1.379 eV/f.u.
# DOS(E_F): 8.56 states/eV per cell
# spin magnetization: 0.04 μB/f.u.
# energy: -6.02 eV/atom
# calculated density: 8.51 g/cm³

=====

(2)
# FeSi2Pb (PBE, relaxed)
data_FeSi2Pb
_symmetry_space_group_name_H-M 'P 1'
_symmetry_Int_Tables_number 1
_cell_length_a 7.927
_cell_length_b 7.927
_cell_length_c 7.927
_cell_angle_alpha 143.97
_cell_angle_beta 143.97
_cell_angle_gamma 51.88
loop_
_symmetry_equiv_pos_as_xyz
'x,y,z'
loop_
_atom_site_label
_atom_site_type_symbol
_atom_site_fract_x
_atom_site_fract_y
_atom_site_fract_z
_atom_site_occupancy
Fe1 Fe 0.000 0.000 0.000 1
Fe2 Fe 0.750 0.250 0.500 1
Si1 Si 0.375 0.196 0.321 1
Si2 Si 0.804 0.125 0.179 1
Si3 Si 0.875 0.054 0.679 1
Si4 Si 0.946 0.625 0.821 1
Pb1 Pb 0.250 0.750 0.500 1
Pb2 Pb 0.500 0.500 0.000 1
# formation energy (no corrections): 1.431 eV/f.u.
# DOS(E_F): 4.63 states/eV per cell
# spin magnetization: 0.00 μB/f.u.
# energy: -5.40 eV/atom
# calculated density: 6.19 g/cm³